# 1
A plane-wave DFT calculation with GGA-PBE was carried out for a relaxed TbNd2Zn2 crystal.

Results
theoretical density	6.9	g cm⁻³
space-group type	Ibam, No. 72
raw total energy	-16.872	eV per formula unit
energy of formation	-32	meV per atom

abc: 6.017 7.952 7.674
angles: 121.21 113.08 90.00
Atoms (fractional coordinates):
Nd 0.198 0.349 0.396
Tb 0.250 0.500 0.000
Tb 0.750 0.500 0.000
Zn 0.939 0.112 0.877
Zn 0.439 0.765 0.877
Zn 0.561 0.235 0.123
Zn 0.061 0.888 0.123
Nd 0.302 0.953 0.604
Nd 0.698 0.047 0.396
Nd 0.802 0.651 0.604

=====

# 2
A plane-wave DFT calculation with GGA-PBE was carried out for a relaxed La5ErSb4 crystal.

Results
theoretical density	6.0	g cm⁻³
space-group type	C2/m, No. 12
formation energy without anion corrections	-0.84	eV per atom
raw total energy	-54.139	eV per formula unit

abc: 4.446 8.867 9.983
angles: 103.90 102.87 90.00
Atoms (fractional coordinates):
Er 0.500 0.000 0.000
La 0.830 0.658 0.659
Sb 0.003 0.243 0.007
La 0.170 0.342 0.341
Sb 0.665 0.084 0.329
Sb 0.997 0.757 0.993
La 0.500 0.500 0.000
La 0.166 0.827 0.332
Sb 0.335 0.916 0.671
La 0.834 0.173 0.668

=====

# 3
A plane-wave DFT calculation with GGA-PBE was carried out for a relaxed CaNd4In3 crystal.

Results
theoretical density	6.5	g cm⁻³
space-group type	R-3m, No. 166
raw total energy	-32.253	eV per formula unit
energy of formation	-371	meV per atom

abc: 5.548 5.548 9.763
angles: 73.49 73.49 60.00
Atoms (fractional coordinates):
Nd 0.614 0.614 0.158
In 0.500 0.500 0.500
Nd 0.133 0.133 0.602
In 0.262 0.262 0.215
In 0.738 0.738 0.785
Ca 0.000 0.000 0.000
Nd 0.386 0.386 0.842
Nd 0.867 0.867 0.398

=====

For reference, spin magnetization by record: 0.004 0.000 0.000 Bohr magnetons per cell.
For reference, DOS at the Fermi energy by record: 1.348 0.888 0.894 states/eV/atom.